Record 1
The following is a PBE calculation of an optimized crystal structure of Ta2Ni, from OQMD via LeMat-Bulk.

Cell and atoms, written as POSCAR:
```
Ta2Ni
1.0
9.768 0.000 0.000
0.000 9.768 0.000
0.000 0.000 5.063
Ta Ni
20 10
Direct
0.045 0.369 0.000 Ta
0.064 0.253 0.500 Ta
0.095 0.095 0.000 Ta
0.131 0.545 0.500 Ta
0.247 0.564 0.000 Ta
0.253 0.064 0.500 Ta
0.369 0.045 0.000 Ta
0.405 0.595 0.500 Ta
0.436 0.753 0.000 Ta
0.455 0.869 0.500 Ta
0.545 0.131 0.500 Ta
0.564 0.247 0.000 Ta
0.595 0.405 0.500 Ta
0.631 0.955 0.000 Ta
0.747 0.936 0.500 Ta
0.753 0.436 0.000 Ta
0.869 0.455 0.500 Ta
0.905 0.905 0.000 Ta
0.936 0.747 0.500 Ta
0.955 0.631 0.000 Ta
0.000 0.000 0.500 Ni
0.180 0.820 0.245 Ni
0.180 0.820 0.755 Ni
0.320 0.320 0.255 Ni
0.320 0.320 0.745 Ni
0.500 0.500 0.000 Ni
0.680 0.680 0.255 Ni
0.680 0.680 0.745 Ni
0.820 0.180 0.245 Ni
0.820 0.180 0.755 Ni
```

Summary:
ΔH_f (0 K) = 0.1362 eV per atom
spin magnetization = 0.000 μB per atom
VASP energy = -288.64 eV for the cell shown



Record 2
The following is a PBE calculation of an optimized crystal structure of ZnCdCuPb, from OQMD via LeMat-Bulk.

Cell and atoms, written as POSCAR:
```
ZnCdCuPb
1.0
0.000 3.438 3.438
3.438 0.000 3.438
3.438 3.438 0.000
Zn Cd Cu Pb
1 1 1 1
Direct
0.000 0.000 0.000 Zn
0.750 0.750 0.750 Cd
0.500 0.500 0.500 Cu
0.250 0.250 0.250 Pb
```

Summary:
polymorph energy (0 for the lowest one) = 0.00 eV/f.u.
VASP energy = -8.63 eV for the cell shown



Record 3
The following is a PBE calculation of an optimized crystal structure of SmErU, from OQMD via LeMat-Bulk.

Cell and atoms, written as POSCAR:
```
SmErU
1.0
0.000 3.689 3.689
3.689 0.000 3.689
3.689 3.689 0.000
Sm Er U
1 1 1
Direct
0.000 0.000 0.000 Sm
0.750 0.750 0.750 Er
0.250 0.250 0.250 U
```

Summary:
ΔH_f (0 K) = 1.2843 eV per atom
polymorph energy (0 for the lowest one) = 0.00 eV/f.u.
spin magnetization = 1.452 μB per atom
VASP energy = -16.72 eV for the cell shown



Record 4
The following is a PBE calculation of an optimized crystal structure of Y2Hg2Au, from OQMD via LeMat-Bulk.

Cell and atoms, written as POSCAR:
```
Y2Hg2Au
1.0
8.124 0.000 0.000
0.000 8.124 0.000
0.000 0.000 4.012
Y Hg Au
4 4 2
Direct
0.163 0.337 0.000 Y
0.337 0.837 0.000 Y
0.663 0.163 0.000 Y
0.837 0.663 0.000 Y
0.138 0.638 0.500 Hg
0.362 0.138 0.500 Hg
0.638 0.862 0.500 Hg
0.862 0.362 0.500 Hg
0.000 0.000 0.000 Au
0.500 0.500 0.000 Au
```

Summary:
ΔH_f (0 K) = -0.3294 eV per atom
polymorph energy (0 for the lowest one) = 0.00 eV/f.u.
spin magnetization = 0.003 μB per atom
VASP energy = -36.88 eV for the cell shown



Record 5
The following is a PBE calculation of an optimized crystal structure of ScCu2B, from OQMD via LeMat-Bulk.

Cell and atoms, written as POSCAR:
```
ScCu2B
1.0
0.000 2.925 2.925
2.925 0.000 2.925
2.925 2.925 0.000
Sc Cu B
1 2 1
Direct
0.000 0.000 0.000 Sc
0.250 0.250 0.250 Cu
0.500 0.500 0.500 Cu
0.750 0.750 0.750 B
```

Summary:
spin magnetization = 0.000 μB per atom
VASP energy = -20.07 eV for the cell shown



Record 6
The following is a PBE calculation of an optimized crystal structure of ZnTe, from OQMD via LeMat-Bulk.

Cell and atoms, written as POSCAR:
```
ZnTe
1.0
5.591 0.000 0.000
0.000 7.939 2.696
0.000 -7.939 2.696
Zn Te
5 5
Direct
0.000 0.000 0.000 Zn
0.000 0.338 0.502 Zn
0.000 0.502 0.338 Zn
0.500 0.067 0.680 Zn
0.500 0.680 0.067 Zn
0.000 0.028 0.692 Te
0.000 0.692 0.028 Te
0.500 0.239 0.500 Te
0.500 0.500 0.239 Te
0.500 0.881 0.881 Te
```

Summary:
VASP energy = -22.81 eV for the cell shown



Record 7
The following is a PBE calculation of an optimized crystal structure of Li2H6IrAu, from OQMD via LeMat-Bulk.

Cell and atoms, written as POSCAR:
```
Li2H6IrAu
1.0
0.000 3.554 3.554
3.554 0.000 3.554
3.554 3.554 0.000
Li H Ir Au
2 6 1 1
Direct
0.250 0.250 0.250 Li
0.750 0.750 0.750 Li
0.238 0.238 0.762 H
0.238 0.762 0.238 H
0.238 0.762 0.762 H
0.762 0.238 0.238 H
0.762 0.238 0.762 H
0.762 0.762 0.238 H
0.000 0.000 0.000 Ir
0.500 0.500 0.500 Au
```

Summary:
spin magnetization = 0.000 μB per atom
VASP energy = -38.09 eV for the cell shown



Record 8
The following is a PBE calculation of an optimized crystal structure of YScGa4Pt2, from OQMD via LeMat-Bulk.

Cell and atoms, written as POSCAR:
```
YScGa4Pt2
1.0
6.664 0.000 0.000
0.000 2.148 5.004
0.000 -2.148 5.004
Y Sc Ga Pt
1 1 4 2
Direct
0.000 0.000 0.000 Y
0.500 0.836 0.836 Sc
0.205 0.290 0.290 Ga
0.304 0.550 0.550 Ga
0.696 0.550 0.550 Ga
0.795 0.290 0.290 Ga
0.000 0.713 0.713 Pt
0.500 0.123 0.123 Pt
```

Summary:
spin magnetization = 0.003 μB per atom
VASP energy = -44.21 eV for the cell shown



Record 9
The following is a PBE calculation of an optimized crystal structure of Dy2Sc2CI3Cl2, from OQMD via LeMat-Bulk.

Cell and atoms, written as POSCAR:
```
Dy2Sc2CI3Cl2
1.0
9.807 -1.892 0.000
9.807 1.892 0.000
-1.703 0.000 8.304
Dy Sc C I Cl
2 2 1 3 2
Direct
0.001 0.001 0.308 Dy
0.999 0.999 0.692 Dy
0.384 0.384 0.434 Sc
0.616 0.616 0.566 Sc
0.500 0.500 0.500 C
0.162 0.162 0.345 I
0.500 0.500 0.000 I
0.838 0.838 0.655 I
0.142 0.142 0.784 Cl
0.858 0.858 0.216 Cl
```

Summary:
polymorph energy (0 for the lowest one) = 0.00 eV/f.u.
spin magnetization = 0.019 μB per atom
VASP energy = -52.58 eV for the cell shown



Record 10
The following is a PBE calculation of an optimized crystal structure of PuZnSi, from OQMD via LeMat-Bulk.

Cell and atoms, written as POSCAR:
```
PuZnSi
1.0
0.000 3.284 3.284
3.284 0.000 3.284
3.284 3.284 0.000
Pu Zn Si
1 1 1
Direct
0.000 0.000 0.000 Pu
0.250 0.250 0.250 Zn
0.750 0.750 0.750 Si
```

Summary:
spin magnetization = 1.723 μB per atom
VASP energy = -20.09 eV for the cell shown



Record 11
The following is a PBE calculation of an optimized crystal structure of NdHfBi3, from OQMD via LeMat-Bulk.

Cell and atoms, written as POSCAR:
```
NdHfBi3
1.0
13.713 0.000 0.000
0.000 6.655 0.000
0.000 0.000 6.501
Nd Hf Bi
4 4 12
Direct
0.183 0.011 0.250 Nd
0.183 0.489 0.750 Nd
0.817 0.511 0.250 Nd
0.817 0.989 0.750 Nd
0.407 0.750 0.000 Hf
0.407 0.750 0.500 Hf
0.593 0.250 0.000 Hf
0.593 0.250 0.500 Hf
0.003 0.750 0.000 Bi
0.003 0.750 0.500 Bi
0.259 0.513 0.250 Bi
0.259 0.987 0.750 Bi
0.421 0.119 0.250 Bi
0.421 0.381 0.750 Bi
0.579 0.619 0.250 Bi
0.579 0.881 0.750 Bi
0.741 0.013 0.250 Bi
0.741 0.487 0.750 Bi
0.997 0.250 0.000 Bi
0.997 0.250 0.500 Bi
```

Summary:
spin magnetization = 0.000 μB per atom
VASP energy = -116.91 eV for the cell shown



Record 12
The following is a PBE calculation of an optimized crystal structure of LiSnAu2, from OQMD via LeMat-Bulk.

Cell and atoms, written as POSCAR:
```
LiSnAu2
1.0
4.643 0.000 0.000
-2.322 4.021 0.000
0.000 0.000 8.355
Li Sn Au
2 2 4
Direct
0.000 0.000 0.000 Li
0.000 0.000 0.500 Li
0.333 0.667 0.250 Sn
0.667 0.333 0.750 Sn
0.333 0.667 0.585 Au
0.333 0.667 0.915 Au
0.667 0.333 0.085 Au
0.667 0.333 0.415 Au
```

Summary:
VASP energy = -27.90 eV for the cell shown